BRu2PtS | PBE | relaxed

M_tot = 5.187 μB/cell
electronic total energy = -27.55 eV for the cell shown

The structure in CIF format:
```
data_BRu2PtS
_cell_length_a 5.000
_cell_length_b 5.000
_cell_length_c 3.888
_cell_angle_alpha 90.00
_cell_angle_beta 90.00
_cell_angle_gamma 90.00
_space_group_name_H-M_alt 'P 4/m m m'
_space_group_IT_number 123
_space_group_name_Hall '-P 4 2'
loop_
_atom_site_label
_atom_site_type_symbol
_atom_site_fract_x
_atom_site_fract_y
_atom_site_fract_z
B1 B 0.000 0.000 0.000
Ru1 Ru 0.000 0.500 0.500
Pt1 Pt 0.000 0.000 0.500
S1 S 0.500 0.500 0.000
```

BRuPtSe2 | PBE | relaxed

M_tot = 3.306 μB/cell
electronic total energy = -20.02 eV for the cell shown

The structure in CIF format:
```
data_BRuPtSe2
_cell_length_a 4.891
_cell_length_b 4.891
_cell_length_c 5.074
_cell_angle_alpha 90.00
_cell_angle_beta 90.00
_cell_angle_gamma 90.00
_space_group_name_H-M_alt 'P 4/m m m'
_space_group_IT_number 123
_space_group_name_Hall '-P 4 2'
loop_
_atom_site_label
_atom_site_type_symbol
_atom_site_fract_x
_atom_site_fract_y
_atom_site_fract_z
B1 B 0.000 0.000 0.000
Ru1 Ru 0.500 0.500 0.000
Pt1 Pt 0.500 0.500 0.500
Se1 Se 0.000 0.500 0.500
```

SnBRuPt2 | PBE | relaxed

calculated formation energy = -0.11 eV/atom
M_tot = 0.000 μB/cell

The structure in CIF format:
```
data_SnBRuPt2
_cell_length_a 4.294
_cell_length_b 4.294
_cell_length_c 4.126
_cell_angle_alpha 90.00
_cell_angle_beta 90.00
_cell_angle_gamma 90.00
_space_group_name_H-M_alt 'P 4/m m m'
_space_group_IT_number 123
_space_group_name_Hall '-P 4 2'
loop_
_atom_site_label
_atom_site_type_symbol
_atom_site_fract_x
_atom_site_fract_y
_atom_site_fract_z
Sn1 Sn 0.000 0.000 0.000
B1 B 0.500 0.500 0.500
Ru1 Ru 0.500 0.500 0.000
Pt1 Pt 0.000 0.500 0.500
```

TcBRuPt2 | PBE | relaxed

calculated formation energy = 2.14 eV/atom
M_tot = 0.630 μB/cell

The structure in CIF format:
```
data_TcBRuPt2
_cell_length_a 4.833
_cell_length_b 4.833
_cell_length_c 4.573
_cell_angle_alpha 90.00
_cell_angle_beta 90.00
_cell_angle_gamma 90.00
_space_group_name_H-M_alt 'P 4/m m m'
_space_group_IT_number 123
_space_group_name_Hall '-P 4 2'
loop_
_atom_site_label
_atom_site_type_symbol
_atom_site_fract_x
_atom_site_fract_y
_atom_site_fract_z
Tc1 Tc 0.000 0.000 0.000
B1 B 0.500 0.500 0.500
Ru1 Ru 0.000 0.000 0.500
Pt1 Pt 0.000 0.500 0.000
```

YBRu2Pt | PBE | relaxed

calculated formation energy = -0.52 eV/atom
M_tot = 0.000 μB/cell

The structure in CIF format:
```
data_YBRu2Pt
_cell_length_a 4.252
_cell_length_b 4.252
_cell_length_c 4.192
_cell_angle_alpha 90.00
_cell_angle_beta 90.00
_cell_angle_gamma 90.00
_space_group_name_H-M_alt 'P 4/m m m'
_space_group_IT_number 123
_space_group_name_Hall '-P 4 2'
loop_
_atom_site_label
_atom_site_type_symbol
_atom_site_fract_x
_atom_site_fract_y
_atom_site_fract_z
Y1 Y 0.000 0.000 0.000
B1 B 0.500 0.500 0.500
Ru1 Ru 0.000 0.500 0.500
Pt1 Pt 0.500 0.500 0.000
```

BPt2S | PBE | relaxed

M_tot = 0.000 μB/cell
energy above the lowest structure with this stoichiometry = 0.0 meV per atom

The structure in CIF format:
```
data_BPt2S
_cell_length_a 4.907
_cell_length_b 4.907
_cell_length_c 10.976
_cell_angle_alpha 90.00
_cell_angle_beta 90.00
_cell_angle_gamma 90.00
_space_group_name_H-M_alt 'I -4 2 d'
_space_group_IT_number 122
_space_group_name_Hall 'I -4 2bw'
loop_
_atom_site_label
_atom_site_type_symbol
_atom_site_fract_x
_atom_site_fract_y
_atom_site_fract_z
B1 B 0.000 0.000 0.000
Pt1 Pt 0.194 0.250 0.125
S1 S 0.000 0.000 0.500
```